# 1
Below is an optimized crystal structure of CdBi2I, with properties calculated at the PBE-GGA level.

POSCAR file:
```
CdBi2I
1.0
0.000 3.947 3.947
3.947 0.000 3.947
3.947 3.947 0.000
I Bi Cd
1 2 1
Direct
0.500 0.500 0.500
0.250 0.250 0.250
0.750 0.750 0.750
0.000 0.000 0.000
```

The value obtained for the energy above the most stable polymorph in this dataset is 74 kJ/mol of formula units. The density of states at the Fermi level comes out at 0.64 states/eV per atom. The spin magnetization is 0.0 μB per formula unit.



# 2
Below is an optimized crystal structure of CdBi2I8, with properties calculated at the PBE-GGA level.

POSCAR file:
```
CdBi2I8
1.0
7.922 0.714 0.594
1.017 8.869 -0.430
1.017 1.198 8.798
I Cd Bi
8 1 2
Direct
0.781 0.742 0.106
0.781 0.106 0.742
0.219 0.894 0.258
0.206 0.379 0.379
0.794 0.621 0.621
0.241 0.789 0.789
0.759 0.211 0.211
0.219 0.258 0.894
0.000 0.000 0.000
0.604 0.836 0.836
0.396 0.164 0.164
```

The density of states at the Fermi level comes out at 0.00 states/eV per atom. The total energy is -25.2 eV per cell. The spin magnetization is 0.0 μB per formula unit.



# 3
Below is an optimized crystal structure of CdBiI2, with properties calculated at the PBE-GGA level.

POSCAR file:
```
CdBiI2
1.0
0.000 4.012 4.012
4.012 0.000 4.012
4.012 4.012 0.000
I Bi Cd
2 1 1
Direct
0.250 0.250 0.250
0.750 0.750 0.750
0.500 0.500 0.500
0.000 0.000 0.000
```

The value obtained for the energy above the most stable polymorph in this dataset is 91 kJ/mol of formula units. The density of states at the Fermi level comes out at 0.70 states/eV per atom. The spin magnetization is 0.0 μB per formula unit.



# 4
Below is an optimized crystal structure of CdBiI6, with properties calculated at the PBE-GGA level.

POSCAR file:
```
CdBiI6
1.0
7.634 0.002 -0.028
3.802 6.616 0.024
3.777 2.228 6.558
Bi I Cd
1 6 1
Direct
0.500 0.500 0.500
0.934 0.573 0.247
0.575 0.246 0.245
0.755 0.063 0.756
0.425 0.754 0.755
0.066 0.427 0.753
0.245 0.937 0.244
0.000 0.000 0.000
```

The density of states at the Fermi level comes out at 1.72 states/eV per atom. The total energy is -16.4 eV per cell. The spin magnetization is 0.0 μB per formula unit.



# 5
Below is an optimized crystal structure of Cd2BiI6, with properties calculated at the PBE-GGA level.

POSCAR file:
```
Cd2BiI6
1.0
4.330 0.000 0.000
-2.165 7.777 1.725
0.000 -0.161 12.576
I Cd Bi
6 2 1
Direct
0.104 0.207 0.264
0.146 0.292 0.902
0.896 0.793 0.736
0.362 0.725 0.422
0.854 0.708 0.098
0.638 0.275 0.578
0.715 0.429 0.766
0.285 0.571 0.234
0.000 0.000 0.500
```

The density of states at the Fermi level comes out at 0.31 states/eV per atom. The total energy is -18.7 eV per cell. The spin magnetization is 0.0 μB per formula unit.



# 6
Below is an optimized crystal structure of CdBiI, with properties calculated at the PBE-GGA level.

POSCAR file:
```
CdBiI
1.0
4.264 0.001 -0.007
0.003 4.509 -0.031
0.177 1.284 6.023
Bi Cd I
1 1 1
Direct
0.360 0.133 0.876
0.861 0.642 0.847
0.351 0.962 0.380
```

The value obtained for the energy above the most stable polymorph in this dataset is 60 kJ/mol of formula units. The density of states at the Fermi level comes out at 0.36 states/eV per atom. The spin magnetization is 0.0 μB per formula unit.